Computed, not measured: a relaxed structure of MgBP2S at the GGA-PBEsol level of DFT.

Results
**E_form (uncorrected)**: 1.666 eV/atom
**Symmetry**: No. 123
**N(E_F)**: 4.279 states/eV per cell
**Total magnetic moment**: 0.00 μB/atom

a = 4.6596 Å, b = 4.7232 Å, c = 4.7232 Å
α = 90.00°, β = 90.00°, γ = 90.00°
Element x y z (fractional)
P  0.0000  0.0000  0.5000
P  0.0000  0.5000  0.0000
S  0.5000  0.0000  0.0000
B  0.5000  0.5000  0.5000
Mg  0.0000  0.0000  0.0000